Record 1
Ba3BiSe4, relaxed, DFT GGA-PBE; formation energy without anion corrections = -1.5336 eV per atom; SG = Pmn2_1; V = 567 Å³/cell
1.0
-2.4045 6.0323 -1.2476
-4.7537 -0.9656 4.4930
7.6789 4.9617 9.1909
Ba Bi Se
6 2 8
Direct
0.5643 0.7496 0.0000
0.0643 0.7502 0.2501
0.5643 0.2498 0.2499
0.0643 0.2504 0.5000
0.5643 0.2498 0.7501
0.0643 0.7502 0.7499
0.0642 0.2479 0.0000
0.5642 0.7521 0.5000
0.0644 0.7623 0.0000
0.5650 0.2502 0.0000
0.0643 0.2505 0.2375
0.5643 0.7495 0.2625
0.0650 0.7498 0.5000
0.5644 0.2377 0.5000
0.5643 0.7495 0.7375
0.0643 0.2505 0.7625

=====

Record 2
Pm5Ni4Hg, relaxed, DFT GGA-PBE; E_form = -28.4 kJ/mol of atoms; SG = P4/mmm; V = 222 Å³/cell
1.0
-1.7115 -3.0076 0.5256
1.7684 -0.4853 2.9814
-12.8958 8.9293 9.1024
Pm Ni Hg
5 4 1
Direct
0.5000 0.5000 0.1218
0.5000 0.5000 0.3103
0.5000 0.5000 0.5000
0.5000 0.5000 0.6897
0.5000 0.5000 0.8782
0.0000 0.0000 0.2135
0.0000 0.0000 0.4057
0.0000 0.0000 0.5943
0.0000 0.0000 0.7865
0.0000 0.0000 0.0000

=====

Record 3
Cs2CdBi, relaxed, DFT GGA-PBE; E_form = -22.3 kJ/mol of atoms; SG = Cmcm; V = 387 Å³/cell; distance to the lowest polymorph of the same formula = 34 meV per atom
1.0
6.7278 0.0000 0.0000
0.0000 7.4494 -1.8989
0.0000 0.0982 7.6870
Cs Cd Bi
4 2 2
Direct
0.7500 0.9763 0.3191
0.2500 0.0237 0.6809
0.2500 0.6809 0.0237
0.7500 0.3191 0.9763
0.5000 0.5000 0.5000
0.0000 0.5000 0.5000
0.2500 0.2355 0.2355
0.7500 0.7645 0.7645

=====

Record 4
LiMnPt2, relaxed, DFT GGA-PBE; E_form = -36.9 kJ/mol of atoms; SG = R-3m; V = 58 Å³/cell; distance to the lowest polymorph of the same formula = 112 meV per atom
1.0
8.8751 -0.0194 -0.0114
8.4454 2.7279 -0.0114
8.4454 1.3207 2.3870
Li Mn Pt
1 1 2
Direct
0.2500 0.2500 0.2500
0.7500 0.7500 0.7500
0.9995 0.9995 0.9995
0.5005 0.5005 0.5005

=====

Record 5
BaZnTe3, relaxed, DFT GGA-PBE; formation energy without anion corrections = 0.3395 eV per atom; SG = Pm-3m; V = 313 Å³/cell; distance to the lowest polymorph of the same formula = 914 meV per atom
1.0
-5.7928 -2.5523 2.4527
-0.5555 -3.9901 -5.4642
3.4959 -4.8633 3.1959
Zn Te Ba
1 3 1
Direct
0.5000 0.5000 0.5000
0.0000 0.5000 0.0000
0.0000 0.0000 0.5000
0.5000 0.0000 0.0000
0.0000 0.0000 0.0000

=====

Record 6
LiYMnC, relaxed, DFT GGA-PBE; E_form = -6.1 kJ/mol of atoms; SG = P4/nmm; V = 124 Å³/cell
1.0
3.3804 0.0000 0.0000
0.0000 3.3804 0.0000
0.0000 0.0000 10.8587
Li Y Mn C
2 2 2 2
Direct
0.2500 0.7500 0.5000
0.7500 0.2500 0.5000
0.7500 0.7500 0.2244
0.2500 0.2500 0.7756
0.7500 0.2500 0.0000
0.2500 0.7500 0.0000
0.7500 0.7500 0.8931
0.2500 0.2500 0.1069